# 1
# RbLiSm2I8 GGA-PBE relaxed
data_RbLiSm2I8
_symmetry_space_group_name_H-M 'P 1'
_symmetry_Int_Tables_number 1
_cell_length_a 7.9649
_cell_length_b 7.9649
_cell_length_c 9.4473
_cell_angle_alpha 90.00
_cell_angle_beta 90.00
_cell_angle_gamma 120.00
loop_
_symmetry_equiv_pos_as_xyz
'x,y,z'
loop_
_atom_site_label
_atom_site_type_symbol
_atom_site_fract_x
_atom_site_fract_y
_atom_site_fract_z
Rb1 Rb 0.0000 0.0000 0.0000
Li1 Li 0.0000 0.0000 0.5000
Sm1 Sm 0.3333 0.6667 0.4056
Sm2 Sm 0.6667 0.3333 0.5944
I1 I 0.0666 0.3580 0.6567
I2 I 0.2914 0.9334 0.6567
I3 I 0.3333 0.6667 0.0864
I4 I 0.3580 0.2914 0.3433
I5 I 0.6420 0.7086 0.6567
I6 I 0.6667 0.3333 0.9136
I7 I 0.7086 0.0666 0.3433
I8 I 0.9334 0.6420 0.3433
# Space group: No. 147
# Calculated volume in Å³ per cell: 519.03
# Formation energy without anion corrections in meV/atom: -1328

***

# 2
# Ho2ErIn9 GGA-PBE relaxed
data_Ho2ErIn9
_symmetry_space_group_name_H-M 'P 1'
_symmetry_Int_Tables_number 1
_cell_length_a 4.6268
_cell_length_b 4.6268
_cell_length_c 13.8770
_cell_angle_alpha 90.00
_cell_angle_beta 90.00
_cell_angle_gamma 90.00
loop_
_symmetry_equiv_pos_as_xyz
'x,y,z'
loop_
_atom_site_label
_atom_site_type_symbol
_atom_site_fract_x
_atom_site_fract_y
_atom_site_fract_z
Ho1 Ho 0.0000 0.0000 0.1668
Ho2 Ho 0.0000 0.0000 0.8332
Er1 Er 0.0000 0.0000 0.5000
In1 In 0.0000 0.5000 0.0000
In2 In 0.0000 0.5000 0.3337
In3 In 0.0000 0.5000 0.6663
In4 In 0.5000 0.0000 0.0000
In5 In 0.5000 0.0000 0.3337
In6 In 0.5000 0.0000 0.6663
In7 In 0.5000 0.5000 0.1667
In8 In 0.5000 0.5000 0.5000
In9 In 0.5000 0.5000 0.8333
# DFT formation energy in kJ/mol of formula units: -457
# Space group: No. 123
# Calculated volume in Å³ per cell: 297.07

***

# 3
# CeTi2In GGA-PBE relaxed
data_CeTi2In
_symmetry_space_group_name_H-M 'P 1'
_symmetry_Int_Tables_number 1
_cell_length_a 4.8703
_cell_length_b 4.8703
_cell_length_c 4.8703
_cell_angle_alpha 60.00
_cell_angle_beta 60.00
_cell_angle_gamma 60.00
loop_
_symmetry_equiv_pos_as_xyz
'x,y,z'
loop_
_atom_site_label
_atom_site_type_symbol
_atom_site_fract_x
_atom_site_fract_y
_atom_site_fract_z
Ce1 Ce 0.0000 0.0000 0.0000
Ti1 Ti 0.2500 0.2500 0.2500
Ti2 Ti 0.7500 0.7500 0.7500
In1 In 0.5000 0.5000 0.5000
# Energy above the lowest structure with this stoichiometry in meV per atom: 27
# DFT formation energy in kJ/mol of formula units: 5
# Space group: No. 225
# Calculated volume in Å³ per cell: 81.68

***

# 4
# CdSi2Se GGA-PBE relaxed
data_CdSi2Se
_symmetry_space_group_name_H-M 'P 1'
_symmetry_Int_Tables_number 1
_cell_length_a 5.4050
_cell_length_b 5.4050
_cell_length_c 2.7969
_cell_angle_alpha 91.99
_cell_angle_beta 91.99
_cell_angle_gamma 89.49
loop_
_symmetry_equiv_pos_as_xyz
'x,y,z'
loop_
_atom_site_label
_atom_site_type_symbol
_atom_site_fract_x
_atom_site_fract_y
_atom_site_fract_z
Cd1 Cd 0.0000 0.0000 0.0000
Si1 Si 0.0000 0.5000 0.0000
Si2 Si 0.5000 0.0000 0.0000
Se1 Se 0.5000 0.5000 0.0000
# Energy above the lowest structure with this stoichiometry in meV per atom: 322
# Space group: No. 12
# Calculated volume in Å³ per cell: 81.61
# Formation energy without anion corrections in meV/atom: 353

***

# 5
# PmHo2Pa GGA-PBE relaxed
data_PmHo2Pa
_symmetry_space_group_name_H-M 'P 1'
_symmetry_Int_Tables_number 1
_cell_length_a 12.4484
_cell_length_b 12.4484
_cell_length_c 12.4484
_cell_angle_alpha 15.41
_cell_angle_beta 15.41
_cell_angle_gamma 15.41
loop_
_symmetry_equiv_pos_as_xyz
'x,y,z'
loop_
_atom_site_label
_atom_site_type_symbol
_atom_site_fract_x
_atom_site_fract_y
_atom_site_fract_z
Pm1 Pm 0.0000 0.0000 0.0000
Ho1 Ho 0.4133 0.4133 0.4133
Ho2 Ho 0.5867 0.5867 0.5867
Pa1 Pa 0.5000 0.5000 0.5000
# Energy above the lowest structure with this stoichiometry in meV per atom: 170
# DFT formation energy in kJ/mol of formula units: 114
# Space group: No. 166
# Calculated volume in Å³ per cell: 118.63

***

# 6
# Tb3PrTl4Te8 GGA-PBE relaxed
data_Tb3PrTl4Te8
_symmetry_space_group_name_H-M 'P 1'
_symmetry_Int_Tables_number 1
_cell_length_a 9.6968
_cell_length_b 9.6968
_cell_length_c 9.6968
_cell_angle_alpha 55.29
_cell_angle_beta 55.29
_cell_angle_gamma 55.29
loop_
_symmetry_equiv_pos_as_xyz
'x,y,z'
loop_
_atom_site_label
_atom_site_type_symbol
_atom_site_fract_x
_atom_site_fract_y
_atom_site_fract_z
Tb1 Tb 0.0000 0.5000 0.5000
Tb2 Tb 0.5000 0.0000 0.5000
Tb3 Tb 0.5000 0.5000 0.0000
Pr1 Pr 0.0000 0.0000 0.0000
Tl1 Tl 0.0000 0.0000 0.5000
Tl2 Tl 0.0000 0.5000 0.0000
Tl3 Tl 0.5000 0.0000 0.0000
Tl4 Tl 0.5000 0.5000 0.5000
Te1 Te 0.2428 0.2428 0.7315
Te2 Te 0.2428 0.7315 0.2428
Te3 Te 0.2623 0.2623 0.2623
Te4 Te 0.2685 0.7572 0.7572
Te5 Te 0.7315 0.2428 0.2428
Te6 Te 0.7377 0.7377 0.7377
Te7 Te 0.7572 0.2685 0.7572
Te8 Te 0.7572 0.7572 0.2685
# Space group: No. 166
# Calculated volume in Å³ per cell: 574.06
# Formation energy without anion corrections in meV/atom: -1062

***

# 7
# Pa2FeRe GGA-PBE relaxed
data_Pa2FeRe
_symmetry_space_group_name_H-M 'P 1'
_symmetry_Int_Tables_number 1
_cell_length_a 3.4391
_cell_length_b 3.4391
_cell_length_c 6.4696
_cell_angle_alpha 90.00
_cell_angle_beta 90.00
_cell_angle_gamma 90.00
loop_
_symmetry_equiv_pos_as_xyz
'x,y,z'
loop_
_atom_site_label
_atom_site_type_symbol
_atom_site_fract_x
_atom_site_fract_y
_atom_site_fract_z
Pa1 Pa 0.0000 0.0000 0.2261
Pa2 Pa 0.0000 0.0000 0.7739
Fe1 Fe 0.5000 0.5000 0.0000
Re1 Re 0.5000 0.5000 0.5000
# Energy above the lowest structure with this stoichiometry in meV per atom: 0
# DFT formation energy in kJ/mol of formula units: 5
# Space group: No. 123
# Calculated volume in Å³ per cell: 76.52

***

# 8
# LiTbCu5 GGA-PBE relaxed
data_LiTbCu5
_symmetry_space_group_name_H-M 'P 1'
_symmetry_Int_Tables_number 1
_cell_length_a 8.0735
_cell_length_b 5.0783
_cell_length_c 10.2271
_cell_angle_alpha 90.00
_cell_angle_beta 90.00
_cell_angle_gamma 90.00
loop_
_symmetry_equiv_pos_as_xyz
'x,y,z'
loop_
_atom_site_label
_atom_site_type_symbol
_atom_site_fract_x
_atom_site_fract_y
_atom_site_fract_z
Li1 Li 0.1389 0.2500 0.1397
Li2 Li 0.3611 0.7500 0.6397
Li3 Li 0.6389 0.2500 0.3603
Li4 Li 0.8611 0.7500 0.8603
Tb1 Tb 0.2459 0.7500 0.9365
Tb2 Tb 0.2541 0.2500 0.4365
Tb3 Tb 0.7459 0.7500 0.5635
Tb4 Tb 0.7541 0.2500 0.0635
Cu1 Cu 0.0597 0.2500 0.9014
Cu2 Cu 0.0687 0.5055 0.6892
Cu3 Cu 0.0687 0.9945 0.6892
Cu4 Cu 0.0938 0.7500 0.4830
Cu5 Cu 0.1827 0.7500 0.2499
Cu6 Cu 0.3173 0.2500 0.7499
Cu7 Cu 0.4062 0.2500 0.9830
Cu8 Cu 0.4313 0.0055 0.1892
Cu9 Cu 0.4313 0.4945 0.1892
Cu10 Cu 0.4403 0.7500 0.4014
Cu11 Cu 0.5597 0.2500 0.5986
Cu12 Cu 0.5687 0.5055 0.8108
Cu13 Cu 0.5687 0.9945 0.8108
Cu14 Cu 0.5938 0.7500 0.0170
Cu15 Cu 0.6827 0.7500 0.2501
Cu16 Cu 0.8173 0.2500 0.7501
Cu17 Cu 0.9062 0.2500 0.5170
Cu18 Cu 0.9313 0.0055 0.3108
Cu19 Cu 0.9313 0.4945 0.3108
Cu20 Cu 0.9403 0.7500 0.0986
# DFT formation energy in kJ/mol of formula units: -108
# Space group: No. 62
# Calculated volume in Å³ per cell: 419.31

***

# 9
# NdPa3Ir2 GGA-PBE relaxed
data_NdPa3Ir2
_symmetry_space_group_name_H-M 'P 1'
_symmetry_Int_Tables_number 1
_cell_length_a 8.7149
_cell_length_b 8.7149
_cell_length_c 7.6755
_cell_angle_alpha 113.59
_cell_angle_beta 113.59
_cell_angle_gamma 31.45
loop_
_symmetry_equiv_pos_as_xyz
'x,y,z'
loop_
_atom_site_label
_atom_site_type_symbol
_atom_site_fract_x
_atom_site_fract_y
_atom_site_fract_z
Nd1 Nd 0.1224 0.1224 0.1929
Nd2 Nd 0.8776 0.8776 0.8071
Pa1 Pa 0.0620 0.0620 0.6987
Pa2 Pa 0.3059 0.3059 0.0438
Pa3 Pa 0.3789 0.3789 0.4659
Pa4 Pa 0.6211 0.6211 0.5341
Pa5 Pa 0.6941 0.6941 0.9562
Pa6 Pa 0.9380 0.9380 0.3013
Ir1 Ir 0.2390 0.2390 0.6413
Ir2 Ir 0.4836 0.4836 0.1590
Ir3 Ir 0.5164 0.5164 0.8410
Ir4 Ir 0.7610 0.7610 0.3587
# DFT formation energy in kJ/mol of formula units: -249
# Space group: No. 12
# Calculated volume in Å³ per cell: 276.63